[1]
{"formula": "Na2MnO", "functional": "PBE+U", "state": "relaxed", "lattice": [[0.000, 3.391, 3.391], [3.391, 0.000, 3.391], [3.391, 3.391, 0.000]], "species": ["O", "Mn", "Na", "Na"], "fractional_positions": [[0.000, 0.000, 0.000], [0.500, 0.500, 0.500], [0.250, 0.250, 0.250], [0.750, 0.750, 0.750]], "final_energy_ev_per_cell": -14.35, "dos_at_fermi_per_ev_atom": 0.093, "rho_g_cm3": 2.5, "crystal_system": "cubic"}

***

[2]
{"formula": "Na2Mn3O8", "functional": "PBE+U", "state": "relaxed", "lattice": [[4.741, 0.013, -1.644], [-1.005, 4.909, -2.860], [0.180, 0.442, 6.515]], "species": ["O", "Mn", "Mn", "Mn", "O", "O", "O", "Na", "O", "O", "O", "O", "Na"], "fractional_positions": [[0.387, 0.317, 0.193], [0.000, 0.743, 0.000], [0.000, 0.257, 0.000], [0.500, 0.000, 0.000], [0.098, 0.908, 0.816], [0.049, 0.403, 0.806], [0.951, 0.597, 0.194], [0.681, 0.727, 0.454], [0.613, 0.683, 0.807], [0.613, 0.124, 0.807], [0.387, 0.876, 0.193], [0.902, 0.092, 0.184], [0.319, 0.273, 0.546]], "final_energy_ev_per_cell": -81.49, "dos_at_fermi_per_ev_atom": 0.336, "rho_g_cm3": 3.5, "crystal_system": "monoclinic"}